## TaZn3O (SCAN)

Data for TaZn3O at its PBEsol-relaxed geometry.

Unit cell a=5.014 b=5.014 c=5.014 alpha=90.00 beta=90.00 gamma=90.00
Sites, in units of the cell vectors:
Zn1 0.000 0.500 0.000
Zn2 0.000 0.000 0.500
Zn3 0.500 0.000 0.000
O1 0.500 0.500 0.500
Ta1 0.000 0.000 0.000

Uncorrected energy in eV per atom: -21.051
D(E_F) in states/eV/cell: 4.33
Formation energy (no corrections) in meV per atom: 1621

=====

## Ta2ZnO6 (SCAN)

Data for Ta2ZnO6 at its PBEsol-relaxed geometry.

Unit cell a=5.155 b=5.632 c=7.479 alpha=90.00 beta=90.00 gamma=90.00
Sites, in units of the cell vectors:
Ta1 0.991 0.750 0.245
Ta2 0.491 0.250 0.745
Ta3 0.491 0.250 0.255
Ta4 0.991 0.750 0.755
O1 0.838 0.750 0.500
O2 0.777 0.477 0.816
O3 0.777 0.023 0.816
O4 0.277 0.977 0.316
O5 0.277 0.523 0.316
O6 0.105 0.750 0.000
O7 0.777 0.023 0.184
O8 0.777 0.477 0.184
O9 0.605 0.250 0.500
O10 0.338 0.250 0.000
O11 0.277 0.977 0.684
O12 0.277 0.523 0.684
Zn1 0.958 0.250 0.000
Zn2 0.458 0.750 0.500

Relative energy among the computed polymorphs in eV per atom: 0.0479
Uncorrected energy in eV per atom: -23.153
D(E_F) in states/eV/cell: 0.00
Formation energy (no corrections) in meV per atom: -2701

=====

## Ta2Zn4O9 (SCAN)

Data for Ta2Zn4O9 at its PBEsol-relaxed geometry.

Unit cell a=8.741 b=8.818 c=10.367 alpha=87.19 beta=87.36 gamma=61.25
Sites, in units of the cell vectors:
Ta1 0.326 0.354 0.797
Ta2 0.000 0.000 0.000
Ta3 0.308 0.002 0.242
Ta4 0.674 0.646 0.203
Ta5 0.667 0.648 0.699
Ta6 0.333 0.352 0.301
Ta7 0.000 0.000 0.500
Ta8 0.692 0.998 0.758
Zn1 0.778 0.200 0.243
Zn2 0.339 0.065 0.569
Zn3 0.575 0.101 0.048
Zn4 0.328 0.595 0.045
Zn5 0.039 0.345 0.067
Zn6 0.898 0.439 0.440
Zn7 0.672 0.405 0.955
Zn8 0.425 0.899 0.952
Zn9 0.222 0.800 0.757
Zn10 0.661 0.935 0.431
Zn11 0.102 0.561 0.560
Zn12 0.360 0.673 0.461
Zn13 0.007 0.258 0.730
Zn14 0.993 0.742 0.270
Zn15 0.640 0.327 0.539
Zn16 0.961 0.655 0.933
O1 0.127 0.407 0.907
O2 0.783 0.437 0.799
O3 0.217 0.563 0.201
O4 0.443 0.766 0.314
O5 0.240 0.236 0.174
O6 0.128 0.412 0.409
O7 0.098 0.054 0.338
O8 0.902 0.946 0.662
O9 0.537 0.907 0.124
O10 0.760 0.764 0.826
O11 0.883 0.246 0.054
O12 0.463 0.093 0.876
O13 0.872 0.588 0.591
O14 0.561 0.579 0.576
O15 0.237 0.574 0.702
O16 0.873 0.593 0.093
O17 0.094 0.758 0.442
O18 0.117 0.754 0.946
O19 0.770 0.085 0.421
O20 0.906 0.242 0.558
O21 0.455 0.754 0.812
O22 0.222 0.265 0.671
O23 0.545 0.246 0.188
O24 0.911 0.952 0.163
O25 0.230 0.915 0.579
O26 0.777 0.046 0.917
O27 0.778 0.735 0.329
O28 0.590 0.913 0.620
O29 0.089 0.048 0.837
O30 0.410 0.087 0.380
O31 0.546 0.598 0.077
O32 0.454 0.402 0.923
O33 0.557 0.234 0.686
O34 0.223 0.954 0.083
O35 0.439 0.421 0.424
O36 0.763 0.426 0.298

Relative energy among the computed polymorphs in eV per atom: 0.0000
Uncorrected energy in eV per atom: -18.486
D(E_F) in states/eV/cell: 0.00
Formation energy (no corrections) in meV per atom: -2265

=====

## Zr3TaO (SCAN)

Data for Zr3TaO at its PBEsol-relaxed geometry.

Unit cell a=5.023 b=5.023 c=5.023 alpha=90.00 beta=90.00 gamma=90.00
Sites, in units of the cell vectors:
Zr1 0.000 0.000 0.500
Zr2 0.000 0.500 0.000
Zr3 0.500 0.000 0.000
O1 0.500 0.500 0.500
Ta1 0.000 0.000 0.000

Uncorrected energy in eV per atom: -31.673
D(E_F) in states/eV/cell: 6.93
Formation energy (no corrections) in meV per atom: 1310

=====

## Tb7O12 (SCAN)

Data for Tb7O12 at its PBEsol-relaxed geometry.

Unit cell a=6.552 b=6.552 c=6.552 alpha=99.54 beta=99.54 gamma=99.54
Sites, in units of the cell vectors:
Tb1 0.862 0.699 0.391
Tb2 0.000 0.000 0.000
Tb3 0.391 0.862 0.699
Tb4 0.699 0.391 0.862
Tb5 0.138 0.301 0.609
Tb6 0.609 0.138 0.301
Tb7 0.301 0.609 0.138
O1 0.326 0.935 0.061
O2 0.674 0.065 0.939
O3 0.935 0.061 0.326
O4 0.065 0.939 0.674
O5 0.420 0.562 0.821
O6 0.821 0.420 0.562
O7 0.438 0.179 0.580
O8 0.179 0.580 0.438
O9 0.061 0.326 0.935
O10 0.562 0.821 0.420
O11 0.580 0.438 0.179
O12 0.939 0.674 0.065

Uncorrected energy in eV per atom: -24.627
D(E_F) in states/eV/cell: 7.87
Formation energy (no corrections) in meV per atom: -3463

=====

## Tb5O9 (SCAN)

Data for Tb5O9 at its PBEsol-relaxed geometry.

Unit cell a=5.582 b=6.524 c=6.524 alpha=79.45 beta=64.67 gamma=64.67
Sites, in units of the cell vectors:
Tb1 0.667 0.898 0.329
Tb2 0.894 0.102 0.671
Tb3 0.434 0.671 0.898
Tb4 0.250 0.500 0.500
Tb5 0.004 0.329 0.102
O1 0.900 0.408 0.784
O2 0.770 0.819 0.645
O3 0.692 0.216 0.408
O4 0.235 0.181 0.355
O5 0.584 0.645 0.181
O6 0.092 0.592 0.216
O7 0.411 0.355 0.819
O8 0.000 0.000 0.000
O9 0.316 0.784 0.592

Uncorrected energy in eV per atom: -24.017
D(E_F) in states/eV/cell: 4.92
Formation energy (no corrections) in meV per atom: -3311

=====

## Tb2Te4O11 (SCAN)

Data for Tb2Te4O11 at its PBEsol-relaxed geometry.

Unit cell a=5.101 b=6.656 c=15.637 alpha=80.73 beta=80.61 gamma=67.47
Sites, in units of the cell vectors:
O1 0.041 0.682 0.454
O2 0.247 0.470 0.946
O3 0.188 0.867 0.630
O4 0.604 0.550 0.403
O5 0.910 0.134 0.170
O6 0.664 0.030 0.554
O7 0.396 0.450 0.597
O8 0.215 0.366 0.330
O9 0.823 0.182 0.954
O10 0.090 0.866 0.830
O11 0.812 0.133 0.370
O12 0.177 0.818 0.046
O13 0.316 0.367 0.130
O14 0.785 0.634 0.670
O15 0.959 0.318 0.546
O16 0.864 0.750 0.250
O17 0.556 0.950 0.097
O18 0.336 0.970 0.446
O19 0.684 0.633 0.870
O20 0.136 0.250 0.750
O21 0.753 0.530 0.054
O22 0.444 0.050 0.903
Te1 0.160 0.877 0.371
Te2 0.403 0.952 0.798
Te3 0.597 0.048 0.202
Te4 0.152 0.548 0.702
Te5 0.408 0.623 0.129
Te6 0.848 0.452 0.298
Te7 0.840 0.123 0.629
Te8 0.592 0.377 0.871
Tb1 0.134 0.201 0.037
Tb2 0.372 0.299 0.463
Tb3 0.866 0.799 0.963
Tb4 0.628 0.701 0.537

Uncorrected energy in eV per atom: -20.328
D(E_F) in states/eV/cell: 0.00
Formation energy (no corrections) in meV per atom: -2029

=====

## Tb2Ti2O7 (SCAN)

Data for Tb2Ti2O7 at its PBEsol-relaxed geometry.

Unit cell a=7.028 b=7.028 c=12.092 alpha=90.00 beta=90.00 gamma=90.00
Sites, in units of the cell vectors:
O1 0.142 0.344 0.802
O2 0.133 0.133 0.000
O3 0.923 0.323 0.175
O4 0.938 0.914 0.840
O5 0.062 0.086 0.340
O6 0.823 0.577 0.925
O7 0.633 0.367 0.750
O8 0.358 0.844 0.448
O9 0.677 0.077 0.325
O10 0.867 0.867 0.500
O11 0.914 0.938 0.160
O12 0.367 0.633 0.250
O13 0.414 0.562 0.590
O14 0.844 0.358 0.552
O15 0.323 0.923 0.825
O16 0.086 0.062 0.660
O17 0.156 0.642 0.052
O18 0.438 0.586 0.910
O19 0.344 0.142 0.198
O20 0.642 0.156 0.948
O21 0.177 0.423 0.425
O22 0.077 0.677 0.675
O23 0.562 0.414 0.410
O24 0.577 0.823 0.075
O25 0.586 0.438 0.090
O26 0.656 0.858 0.698
O27 0.423 0.177 0.575
O28 0.858 0.656 0.302
Ti1 0.372 0.594 0.400
Ti2 0.594 0.372 0.600
Ti3 0.906 0.872 0.650
Ti4 0.406 0.628 0.100
Ti5 0.094 0.128 0.150
Ti6 0.872 0.906 0.350
Ti7 0.628 0.406 0.900
Ti8 0.128 0.094 0.850
Tb1 0.872 0.362 0.367
Tb2 0.362 0.872 0.633
Tb3 0.128 0.638 0.867
Tb4 0.862 0.628 0.117
Tb5 0.628 0.862 0.883
Tb6 0.138 0.372 0.617
Tb7 0.372 0.138 0.383
Tb8 0.638 0.128 0.133

Uncorrected energy in eV per atom: -19.001
D(E_F) in states/eV/cell: 0.00
Formation energy (no corrections) in meV per atom: -3619

=====

What are the spin magnetization values for these records? In order: 0.815; 0.000; 0.000; 0.006; 3.002; 3.000; 0.000; 0.000 μB/f.u..